VASP calculation (PBE) on NaEu3Ge after structural relaxation.

```
5
Lattice="6.003 0.000 0.000 0.000 6.003 0.000 0.000 0.000 6.003" Properties=species:S:1:pos:R:3 pbc="T T T"
Eu 0.000 0.000 3.002
Eu 0.000 3.002 0.000
Eu 3.002 0.000 0.000
Ge 0.000 0.000 0.000
Na 3.002 3.002 3.002
```

Results
The calculation puts the calculated volume at 216.3 Å³/cell. Its size of the total moment is 21.80 Bohr magnetons per cell. Its total energy is -37.59 eV/cell.

VASP calculation (PBE) on Sr3Hf5S12 after structural relaxation.

```
80
Lattice="-6.390 1.070 12.263 13.599 -1.836 2.017 -2.064 11.600 -7.317" Properties=species:S:1:pos:R:3 pbc="T T T"
S 4.283 5.552 8.960
S 0.907 6.714 4.952
S 1.397 6.543 1.490
S 0.579 4.434 7.921
S -6.446 11.066 4.851
S 6.553 2.647 9.745
S 7.055 -0.501 11.727
S -5.863 7.957 6.872
S -2.965 0.827 8.677
S 2.023 9.090 -1.538
S 6.769 7.053 -3.599
S 0.862 5.283 -1.997
S -0.830 1.536 5.995
S -1.911 11.337 -4.763
S -2.603 10.853 3.740
S 5.974 9.299 0.968
S 8.083 6.713 4.256
S 0.460 10.409 5.375
S 7.738 4.921 -0.997
S 3.122 1.745 8.502
S 3.747 4.292 5.474
S 8.110 10.009 -1.713
S -2.784 7.164 4.435
S 1.442 2.029 11.847
S 3.703 8.807 -4.883
S 2.221 10.164 2.069
S 1.451 2.123 -0.059
S 3.694 8.713 7.023
S 7.748 -0.018 3.223
S 7.929 3.672 2.529
S 4.685 0.427 1.588
S 0.734 3.627 3.310
S 11.007 2.878 0.092
S 4.411 7.208 3.654
S 6.001 0.324 6.528
S 4.238 4.121 2.012
S -0.856 10.512 0.436
S 2.924 0.671 4.895
S -1.624 3.782 10.563
S 11.591 -0.231 2.113
S -2.280 7.089 0.971
S 4.566 6.402 -0.958
S -2.593 5.915 7.961
S 7.425 3.746 5.993
S 9.165 7.864 0.845
S -2.938 4.122 2.708
S -1.408 8.189 -2.781
S -4.020 2.971 6.119
Hf 7.389 1.963 7.601
Hf -2.244 8.872 -0.637
Hf 8.626 3.107 0.302
Hf 3.785 2.346 0.460
Hf 10.044 0.112 3.916
Hf 2.212 6.830 -0.751
Hf 6.799 -0.918 1.009
Hf -1.032 5.800 -3.658
Hf 3.604 -0.383 7.140
Hf 0.745 1.393 4.188
Hf 2.572 5.418 3.482
Hf 5.767 4.882 -2.650
Hf -3.482 7.728 6.662
Hf 0.000 0.000 0.000
Hf 4.399 9.443 2.775
Hf -4.899 10.724 3.047
Hf -3.195 0.535 6.132
Hf -4.227 6.335 2.473
Hf 2.933 4.006 7.714
Hf 1.360 8.490 6.504
Sr -1.368 4.560 5.425
Sr 4.350 1.010 11.329
Sr 0.049 1.565 9.039
Sr 6.513 6.275 1.539
Sr -4.407 3.607 9.153
Sr 9.552 7.228 -2.190
Sr -0.442 8.681 2.933
Sr 0.795 9.825 -4.365
Sr 5.587 2.154 4.030
Sr -0.672 4.388 0.574
Sr 5.096 9.271 -2.076
Sr 5.816 6.447 6.390
```

Results
Its uncorrected formation energy is -1.59 eV per atom. The calculation puts the calculated volume at 2053.9 Å³/cell. Its size of the total moment is 5.28 Bohr magnetons per cell. Its total energy is -544.78 eV/cell.